Here is Sm3BiB after structural relaxation from Alexandria via LeMat-Bulk. Energies are from PBE.

Magnetization = 0.0 μB/f.u.
Uncorrected energy = -26.757 eV per cell
Calculated formation energy = -0.408 eV/atom
Symmetry = Pm-3m, No. 221
Density of states at the Fermi level = 3.0 states/eV/f.u.

Lattice parameters (Å, degrees): 5.1631 5.1631 5.1631 90.00 90.00 90.00
With the nearest neighbours (Å) after each atom.
Fractional coordinates of all 5 atoms:
Sm  0.0000  0.0000  0.5000  2 B 2.58
Sm  0.0000  0.5000  0.0000  2 B 2.58
Sm  0.5000  0.0000  0.0000  2 B 2.58
Bi  0.5000  0.5000  0.5000  12 Sm 3.65
B  0.0000  0.0000  0.0000  6 Sm 2.58